An optimized crystal structure of LaTa. Source: Alexandria via LeMat-Bulk, functional PBE-GGA.

Results
DOS(E_F) in states/eV/f.u.: 2.898
Space group: No. 227
Excess energy over the best structure of this formula in the dataset in meV per atom: 327
ΔE_f in meV per atom: 606
V in Å³/atom: 24.09
Mass density in g/cm3: 11.02
VASP energy in eV/atom: -7.78

Unit cell a=5.146 b=5.146 c=5.146 alpha=60.00 beta=60.00 gamma=60.00
Atoms (fractional coordinates):
Ta 0.500 0.500 0.500
Ta 0.750 0.750 0.750
La 0.250 0.250 0.250
La 0.000 0.000 0.000